Below is CdPdF3 after structural relaxation, with properties calculated at the PBE-GGA level.

M_tot	0.0	μB/f.u.
raw total energy	-3.4373	eV/atom
energy relative to the elements, uncorrected	-1.09	eV/atom
offset from the most stable computed form	69	meV/atom
N(E_F)	0.815	states/eV/atom

Cell lengths 4.2905, 4.2905, 4.2905 Å; angles 90.00, 90.00, 90.00 degrees
Sites, in units of the cell vectors:
F1 0.0000 0.5000 0.0000
Pd1 0.0000 0.0000 0.0000
F2 0.0000 0.0000 0.5000
F3 0.5000 0.0000 0.0000
Cd1 0.5000 0.5000 0.5000